# 1
{
  "formula": "TaIr2Br",
  "functional": "GGA-PBE",
  "state": "optimized geometry",
  "lattice": [[8.8044, 0.0407, 0.0240], [8.2214, 3.1508, 0.0240], [8.2214, 1.5411, 2.7483]],
  "species": ["Ir", "Ir", "Br", "Ta"],
  "fractional_positions": [[0.9884, 0.9884, 0.9884], [0.5116, 0.5116, 0.5116], [0.7500, 0.7500, 0.7500], [0.2500, 0.2500, 0.2500]],
  "polymorph_energy_ev_per_atom": 0.1874,
  "total_magnetization_mub_per_atom": 0.00,
  "space_group": "R-3m, No. 166",
  "final_energy_ev_per_atom": -7.67,
  "raw_formation_energy_ev_per_fu": 0.55,
  "volume_a3_per_fu": 74.7
}

---

# 2
{
  "formula": "Cs2CdHg6Au",
  "functional": "GGA-PBE",
  "state": "optimized geometry",
  "lattice": [[8.1062, -0.0049, 0.0147], [-0.0050, 8.1096, 0.0147], [4.0638, 4.0657, 5.6856]],
  "species": ["Cs", "Cs", "Cd", "Hg", "Hg", "Hg", "Hg", "Hg", "Hg", "Au"],
  "fractional_positions": [[0.7501, 0.2501, 0.4998], [0.2499, 0.7499, 0.5002], [0.0000, 0.0000, 0.0000], [0.2540, 0.2540, 0.4924], [0.7457, 0.7457, 0.0004], [0.2543, 0.7459, 0.0000], [0.7457, 0.2541, 0.0000], [0.2543, 0.2543, 0.9996], [0.7460, 0.7460, 0.5076], [0.5000, 0.5000, 0.0000]],
  "delta_e_f_ev_per_atom": -0.1697,
  "total_magnetization_mub_per_atom": 0.00,
  "space_group": "C2/m, No. 12",
  "final_energy_ev_per_atom": -0.94,
  "volume_a3_per_fu": 372.8
}

---

# 3
{
  "formula": "Nb2VHg",
  "functional": "GGA-PBE",
  "state": "optimized geometry",
  "lattice": [[3.9078, 0.0000, 0.0000], [0.0000, 3.9078, 0.0000], [1.9539, 1.9539, 10.0170]],
  "species": ["Nb", "Nb", "Nb", "Nb", "Hg", "Hg", "V", "V"],
  "fractional_positions": [[0.6119, 0.1250, 0.2500], [0.1381, 0.6250, 0.2500], [0.3750, 0.3881, 0.7500], [0.8750, 0.8619, 0.7500], [0.0000, 0.0000, 0.0000], [0.7500, 0.2500, 0.5000], [0.5000, 0.5000, 0.0000], [0.2500, 0.7500, 0.5000]],
  "delta_e_f_ev_per_atom": 0.7019,
  "total_magnetization_mub_per_atom": 0.00,
  "space_group": "I-42d, No. 122",
  "final_energy_ev_per_atom": -6.69,
  "volume_a3_per_fu": 76.5
}

---

# 4
{
  "formula": "Ce8GeRu5",
  "functional": "GGA-PBE",
  "state": "optimized geometry",
  "lattice": [[-3.2428, 6.7520, -0.3580], [-3.2918, -3.9122, 5.4857], [7.3226, 0.5137, 1.5331]],
  "species": ["Ce", "Ce", "Ce", "Ce", "Ce", "Ce", "Ce", "Ce", "Ge", "Ru", "Ru", "Ru", "Ru", "Ru"],
  "fractional_positions": [[0.1067, 0.7540, 0.9885], [0.0115, 0.1181, 0.7654], [0.7414, 0.2517, 0.3882], [0.6118, 0.3532, 0.8635], [0.5103, 0.6468, 0.2586], [0.6473, 0.8819, 0.8933], [0.2346, 0.2460, 0.3527], [0.1365, 0.7483, 0.4897], [0.2500, 0.5000, 0.7500], [0.0195, 0.3864, 0.1436], [0.8564, 0.8759, 0.2428], [0.7572, 0.6136, 0.6331], [0.5000, 0.0000, 0.5000], [0.3669, 0.1241, 0.9805]],
  "delta_e_f_ev_per_atom": -0.3779,
  "total_magnetization_mub_per_atom": 0.00,
  "space_group": "I-4, No. 82",
  "final_energy_ev_per_atom": -7.41,
  "volume_a3_per_fu": 324.2
}